Entry 1:
CaBe, optimized geometry, DFT PBE; calculated volume = 23.420 Å³/atom; energy of formation from the pure elements = 0.3342 eV per atom; size of the total moment = 0.0 μB per formula unit
1.0
11.9290 0.0000 0.0000
0.0000 3.5664 0.0000
0.0000 0.0000 6.6061
Ca Be
6 6
Cartesian
3.3765 0.0000 4.7850
8.5525 0.0000 4.7850
9.3410 1.7832 1.4820
2.5880 1.7832 1.4820
0.0000 0.0000 6.0194
5.9645 1.7832 2.7164
4.9043 0.0000 0.6247
7.0247 0.0000 0.6247
10.8688 1.7832 3.9277
1.0602 1.7832 3.9277
0.0000 0.0000 2.9927
5.9645 1.7832 6.2958



Entry 2:
Ca3Be, optimized geometry, DFT PBE; calculated volume = 34.192 Å³/atom; energy of formation from the pure elements = 0.3361 eV per atom; size of the total moment = 0.0 μB per formula unit
1.0
-2.1477 -2.6608 1.8565
3.8680 -0.3896 -0.1609
0.9161 5.4388 8.8545
Be Ca
1 3
Cartesian
0.0000 0.0000 0.0000
0.4580 2.7194 4.4273
0.0280 -0.8913 2.8323
0.6031 2.5226 8.3903



Entry 3:
CaBe, optimized geometry, DFT PBE; calculated volume = 32.432 Å³/atom; energy of formation from the pure elements = 1.0066 eV per atom; size of the total moment = 0.0 μB per formula unit
1.0
5.0223 0.0000 0.0000
-2.5112 4.3494 0.0000
0.0000 0.0000 5.9388
Ca Be
2 2
Cartesian
0.0000 2.8996 4.4541
2.5112 1.4498 1.4847
0.0000 2.8996 1.4847
2.5112 1.4498 4.4541



Entry 4:
CaBe, optimized geometry, DFT PBE; calculated volume = 34.996 Å³/atom; energy of formation from the pure elements = 1.2174 eV per atom; size of the total moment = 0.0 μB per formula unit
1.0
-6.3480 -1.2464 -0.9723
0.1496 -4.4792 4.7656
-1.5737 4.6021 4.3749
Ca Be
4 4
Cartesian
0.0000 0.0000 0.0000
-0.7121 0.0615 4.5703
-3.9609 1.6778 1.7013
-3.0992 -2.8628 1.8966
-1.9430 -0.2809 2.0420
-2.6551 -0.2194 6.6123
-5.9039 1.3970 3.7434
-5.0423 -3.1437 3.9387



Entry 5:
Ca3Be, optimized geometry, DFT PBE; calculated volume = 32.400 Å³/atom; energy of formation from the pure elements = 0.2807 eV per atom; size of the total moment = 0.0 μB per formula unit
1.0
6.8041 0.0029 0.0052
3.1890 6.0105 -0.0052
-4.2267 -4.2860 3.1719
Be Ca
1 3
Cartesian
0.0478 -0.0794 0.0589
5.2626 2.5645 0.3280
4.6560 -0.7324 1.9246
1.6556 1.5537 1.9194



Entry 6:
Ca3Be, optimized geometry, DFT PBE; calculated volume = 34.453 Å³/atom; energy of formation from the pure elements = 0.3157 eV per atom; size of the total moment = 0.0 μB per formula unit
1.0
-1.6458 8.9604 5.5578
-0.2636 6.6220 8.3645
2.2089 8.5307 6.0194
Be Ca
1 3
Cartesian
0.0000 0.0000 0.0000
0.2178 17.5297 14.4972
0.1498 12.0566 9.9708
0.0818 6.5834 5.4445